Material: Ac3IrAu
Method: DFT, PBE-GGA
State: optimized geometry

Computed properties:
Its volume is 340.0 Å³/cell. The crystal system is monoclinic. For the density of states at the Fermi level, the calculation gives 6.978 states/eV/cell. For the formation energy, the calculation gives -573 meV/atom. The total magnetization comes out at 0.000 Bohr magnetons per cell. The space-group type is C2/m.

```
Ac3IrAu
1.0
6.796 -2.967 0.000
6.796 2.967 0.000
-4.285 0.000 8.433
Ac Ir Au
6 2 2
direct
0.110 0.110 0.226
0.167 0.167 0.642
0.385 0.385 0.122
0.615 0.615 0.878
0.833 0.833 0.358
0.890 0.890 0.774
0.133 0.133 0.929
0.867 0.867 0.071
0.368 0.368 0.536
0.632 0.632 0.464
```